Entry 1:
A plane-wave DFT calculation with PBE-GGA was carried out for a relaxed Th4CoTeSe2 crystal.

Cell: 4.104 7.675 7.381 Å, 108.18 90.00 90.00°
Positions (direct):
Th (0.000, 0.709, 0.219)
Th (0.500, 0.277, 0.253)
Th (0.000, 0.291, 0.781)
Th (0.500, 0.723, 0.747)
Te (0.000, 0.000, 0.000)
Co (0.500, 0.500, 0.000)
Se (0.500, 0.000, 0.500)
Se (0.000, 0.500, 0.500)

The value obtained for the uncorrected formation energy is -105.00 kJ/mol of atoms.

=====

Entry 2:
A plane-wave DFT calculation with PBE-GGA was carried out for a relaxed CeZrZnIn crystal.

Cell: 5.102 5.102 5.102 Å, 60.00 60.00 60.00°
Positions (direct):
Ce (0.250, 0.250, 0.250)
Zn (0.000, 0.000, 0.000)
Zr (0.750, 0.750, 0.750)
In (0.500, 0.500, 0.500)

As for the energy relative to the lowest polymorph listed for this composition: 120 meV per atom.

=====

Entry 3:
A plane-wave DFT calculation with PBE-GGA was carried out for a relaxed EuMg3Ir crystal.

Cell: 5.060 5.060 5.060 Å, 90.00 90.00 90.00°
Positions (direct):
Mg (0.000, 0.000, 0.500)
Mg (0.000, 0.500, 0.000)
Mg (0.500, 0.000, 0.000)
Eu (0.500, 0.500, 0.500)
Ir (0.000, 0.000, 0.000)

The value obtained for the raw total energy is -4.976 eV per atom.

=====

Entry 4:
A plane-wave DFT calculation with PBE-GGA was carried out for a relaxed NpAl2Au crystal.

Cell: 3.102 3.102 7.831 Å, 90.00 90.00 90.00°
Positions (direct):
Al (0.000, 0.000, 0.215)
Al (0.000, 0.000, 0.785)
Au (0.500, 0.500, 0.000)
Np (0.500, 0.500, 0.500)

The value obtained for the raw total energy is -6.082 eV per atom.

=====

Entry 5:
A plane-wave DFT calculation with PBE-GGA was carried out for a relaxed NaScFeHg2 crystal.

Cell: 5.592 4.585 5.592 Å, 90.00 90.00 90.00°
Positions (direct):
Na (0.500, 0.500, 0.500)
Hg (0.500, 0.000, 0.000)
Hg (0.000, 0.000, 0.500)
Sc (0.000, 0.000, 0.000)
Fe (0.000, 0.500, 0.000)

The value obtained for the raw total energy is -2.825 eV per atom.

=====

Entry 6:
A plane-wave DFT calculation with PBE-GGA was carried out for a relaxed RbTi3Ir crystal.

Cell: 4.570 4.570 4.570 Å, 90.00 90.00 90.00°
Positions (direct):
Rb (0.000, 0.000, 0.000)
Ir (0.500, 0.500, 0.500)
Ti (0.000, 0.000, 0.500)
Ti (0.000, 0.500, 0.000)
Ti (0.500, 0.000, 0.000)

As for the energy relative to the lowest polymorph listed for this composition: 1573 meV per atom.